# 1
Here is a geometry-optimized Pr2Ge4Os3 structure from Alexandria via LeMat-Bulk. Energies are from PBE.

a b c (Å): 8.080 6.982 5.695
angles (deg): 78.47 57.85 43.68
Fractional positions:
Pr  0.133  0.133  0.867
Pr  0.867  0.867  0.133
Ge  0.178  0.517  0.483
Ge  0.483  0.822  0.178
Ge  0.517  0.178  0.822
Ge  0.822  0.483  0.517
Os  0.000  0.000  0.500
Os  0.500  0.500  0.000
Os  0.500  0.500  0.500

As for the crystal system: orthorhombic. As for the formation energy: -0.288 eV per atom. The volume is 19.80 Å³/atom.

=====

# 2
Here is a geometry-optimized PrGeOs structure from Alexandria via LeMat-Bulk. Energies are from PBE.

a b c (Å): 3.269 3.269 11.432
angles (deg): 90.00 90.00 90.00
Fractional positions:
Pr  0.000  0.000  0.164
Pr  0.000  0.000  0.836
Ge  0.500  0.500  0.375
Ge  0.500  0.500  0.625
Os  0.000  0.000  0.500
Os  0.500  0.500  0.000

As for the crystal system: tetragonal. As for the formation energy: -0.001 eV per atom. The volume is 20.36 Å³/atom.

=====

# 3
Here is a geometry-optimized Pr4GeOs structure from Alexandria via LeMat-Bulk. Energies are from PBE.

a b c (Å): 8.274 8.274 6.445
angles (deg): 106.02 106.02 112.92
Fractional positions:
Pr  0.058  0.702  0.915
Pr  0.226  0.355  0.697
Pr  0.298  0.942  0.585
Pr  0.355  0.226  0.197
Pr  0.645  0.774  0.803
Pr  0.702  0.058  0.415
Pr  0.774  0.645  0.303
Pr  0.942  0.298  0.085
Ge  0.370  0.630  0.250
Ge  0.630  0.370  0.750
Os  0.001  0.999  0.250
Os  0.999  0.001  0.750

As for the crystal system: monoclinic. As for the formation energy: -0.323 eV per atom. The volume is 29.34 Å³/atom.

=====

# 4
Here is a geometry-optimized Pr3Ge4Os2 structure from Alexandria via LeMat-Bulk. Energies are from PBE.

a b c (Å): 6.032 6.032 8.419
angles (deg): 107.67 107.67 42.96
Fractional positions:
Pr  0.000  0.000  0.000
Pr  0.383  0.383  0.299
Pr  0.617  0.617  0.701
Ge  0.102  0.102  0.403
Ge  0.289  0.289  0.917
Ge  0.711  0.711  0.083
Ge  0.898  0.898  0.597
Os  0.312  0.312  0.637
Os  0.688  0.688  0.363

As for the crystal system: monoclinic. As for the formation energy: -0.581 eV per atom. The volume is 21.92 Å³/atom.

=====

# 5
Here is a geometry-optimized Pr2Ge5Os3 structure from Alexandria via LeMat-Bulk. Energies are from PBE.

a b c (Å): 8.567 8.567 8.567
angles (deg): 108.05 86.20 139.16
Fractional positions:
Pr  0.137  0.231  0.368
Pr  0.363  0.731  0.094
Pr  0.637  0.269  0.906
Pr  0.863  0.769  0.632
Ge  0.038  0.750  0.288
Ge  0.090  0.670  0.760
Ge  0.250  0.250  0.000
Ge  0.410  0.170  0.580
Ge  0.462  0.750  0.712
Ge  0.538  0.250  0.288
Ge  0.590  0.830  0.420
Ge  0.750  0.750  0.000
Ge  0.910  0.330  0.240
Ge  0.962  0.250  0.712
Os  0.146  0.903  0.049
Os  0.250  0.750  0.500
Os  0.354  0.403  0.756
Os  0.646  0.597  0.244
Os  0.750  0.250  0.500
Os  0.854  0.097  0.951

As for the crystal system: orthorhombic. As for the formation energy: -0.445 eV per atom. The volume is 18.82 Å³/atom.

=====

# 6
Here is a geometry-optimized Pr3Ge7Os2 structure from Alexandria via LeMat-Bulk. Energies are from PBE.

a b c (Å): 13.200 13.200 4.416
angles (deg): 90.00 90.00 160.71
Fractional positions:
Pr  0.000  0.000  0.000
Pr  0.317  0.683  0.500
Pr  0.683  0.317  0.500
Ge  0.087  0.913  0.500
Ge  0.221  0.779  0.000
Ge  0.413  0.587  0.000
Ge  0.500  0.500  0.500
Ge  0.587  0.413  0.000
Ge  0.779  0.221  0.000
Ge  0.913  0.087  0.500
Os  0.128  0.872  0.000
Os  0.872  0.128  0.000

As for the crystal system: orthorhombic. As for the formation energy: -0.527 eV per atom. The volume is 21.18 Å³/atom.

=====

# 7
Here is a geometry-optimized PrGe3Os2 structure from Alexandria via LeMat-Bulk. Energies are from PBE.

a b c (Å): 6.247 6.247 5.795
angles (deg): 90.00 90.00 77.87
Fractional positions:
Pr  0.150  0.850  0.750
Pr  0.850  0.150  0.250
Ge  0.043  0.617  0.250
Ge  0.383  0.957  0.250
Ge  0.471  0.529  0.250
Ge  0.529  0.471  0.750
Ge  0.617  0.043  0.750
Ge  0.957  0.383  0.750
Os  0.292  0.292  0.000
Os  0.292  0.292  0.500
Os  0.708  0.708  0.000
Os  0.708  0.708  0.500

As for the crystal system: orthorhombic. As for the formation energy: -0.165 eV per atom. The volume is 18.42 Å³/atom.

=====

# 8
Here is a geometry-optimized PrGeOs structure from Alexandria via LeMat-Bulk. Energies are from PBE.

a b c (Å): 4.271 4.271 4.228
angles (deg): 90.00 90.00 120.00
Fractional positions:
Pr  0.000  0.000  0.000
Ge  0.333  0.667  0.500
Os  0.667  0.333  0.500

As for the crystal system: hexagonal. As for the formation energy: -0.284 eV per atom. The volume is 22.27 Å³/atom.

=====

# 9
Here is a geometry-optimized Pr2Ge5Os structure from Alexandria via LeMat-Bulk. Energies are from PBE.

a b c (Å): 6.335 6.335 6.335
angles (deg): 121.63 121.63 87.21
Fractional positions:
Pr  0.000  0.500  0.500
Pr  0.500  0.000  0.500
Ge  0.026  0.026  0.569
Ge  0.026  0.457  0.000
Ge  0.454  0.454  0.000
Ge  0.457  0.026  0.000
Ge  0.457  0.457  0.431
Os  0.716  0.716  0.000

As for the crystal system: tetragonal. As for the formation energy: -0.340 eV per atom. The volume is 21.89 Å³/atom.

=====

# 10
Here is a geometry-optimized PrGe4Os structure from Alexandria via LeMat-Bulk. Energies are from PBE.

a b c (Å): 6.422 6.545 6.811
angles (deg): 84.86 90.00 60.63
Fractional positions:
Pr  0.094  0.000  0.250
Pr  0.906  0.000  0.750
Ge  0.130  0.510  0.144
Ge  0.322  0.105  0.589
Ge  0.361  0.510  0.644
Ge  0.426  0.896  0.911
Ge  0.574  0.104  0.089
Ge  0.639  0.490  0.356
Ge  0.678  0.895  0.411
Ge  0.870  0.490  0.856
Os  0.000  0.500  0.500
Os  0.500  0.500  0.000

As for the crystal system: triclinic. As for the formation energy: -0.244 eV per atom. The volume is 20.68 Å³/atom.

=====

# 11
Here is a geometry-optimized PrTaGe2Os structure from Alexandria via LeMat-Bulk. Energies are from PBE.

a b c (Å): 6.487 6.487 6.487
angles (deg): 143.17 143.17 53.07
Fractional positions:
Pr  0.000  0.000  0.000
Ta  0.250  0.750  0.500
Ge  0.388  0.388  0.000
Ge  0.612  0.612  0.000
Os  0.750  0.250  0.500

As for the crystal system: tetragonal. As for the formation energy: -0.425 eV per atom. The volume is 19.50 Å³/atom.

=====

# 12
Here is a geometry-optimized PrTcGe2Os structure from Alexandria via LeMat-Bulk. Energies are from PBE.

a b c (Å): 6.024 6.024 6.024
angles (deg): 138.54 138.54 60.08
Fractional positions:
Pr  0.000  0.000  0.000
Tc  0.750  0.250  0.500
Ge  0.372  0.372  0.000
Ge  0.628  0.628  0.000
Os  0.250  0.750  0.500

As for the crystal system: tetragonal. As for the formation energy: -0.396 eV per atom. The volume is 18.97 Å³/atom.

=====

# 13
Here is a geometry-optimized GeOsPt structure from Alexandria via LeMat-Bulk. Energies are from PBE.

a b c (Å): 4.586 4.854 4.864
angles (deg): 62.50 83.20 75.36
Fractional positions:
Ge  0.000  0.000  0.000
Ge  0.094  0.637  0.648
Os  0.498  0.804  0.240
Os  0.603  0.472  0.908
Pt  0.097  0.387  0.276
Pt  0.637  0.104  0.585

As for the crystal system: triclinic. The value obtained for the energy above the most stable polymorph in this dataset is 65 meV/atom. As for the formation energy: 0.101 eV per atom. The volume is 15.48 Å³/atom.

=====

# 14
Here is a geometry-optimized GeOsPt structure from Alexandria via LeMat-Bulk. Energies are from PBE.

a b c (Å): 5.009 5.009 5.087
angles (deg): 114.89 114.89 55.96
Fractional positions:
Ge  0.154  0.154  0.473
Ge  0.846  0.846  0.527
Os  0.011  0.583  0.939
Os  0.417  0.989  0.061
Pt  0.436  0.564  0.500
Pt  0.704  0.296  0.000

As for the crystal system: monoclinic. The value obtained for the energy above the most stable polymorph in this dataset is 0 meV/atom. As for the formation energy: 0.037 eV per atom. The volume is 15.50 Å³/atom.

=====

# 15
Here is a geometry-optimized GeOsPt2 structure from Alexandria via LeMat-Bulk. Energies are from PBE.

a b c (Å): 7.661 7.661 7.661
angles (deg): 141.90 141.90 54.99
Fractional positions:
Ge  0.000  0.000  0.000
Ge  0.750  0.250  0.500
Os  0.250  0.750  0.500
Os  0.500  0.500  0.000
Pt  0.125  0.625  0.000
Pt  0.375  0.375  0.500
Pt  0.625  0.125  0.000
Pt  0.875  0.875  0.500

As for the crystal system: tetragonal. As for the formation energy: 0.618 eV per atom. The volume is 21.25 Å³/atom.

=====

# 16
Here is a geometry-optimized Ge4OsPt structure from Alexandria via LeMat-Bulk. Energies are from PBE.

a b c (Å): 5.900 5.900 3.594
angles (deg): 90.00 90.00 90.23
Fractional positions:
Ge  0.209  0.791  0.000
Ge  0.298  0.298  0.500
Ge  0.702  0.702  0.500
Ge  0.791  0.209  0.000
Os  0.500  0.500  0.000
Pt  0.000  0.000  0.500

As for the crystal system: orthorhombic. As for the formation energy: -0.046 eV per atom. The volume is 20.85 Å³/atom.

=====

# 17
Here is a geometry-optimized GeOsPt structure from Alexandria via LeMat-Bulk. Energies are from PBE.

a b c (Å): 4.555 4.560 5.609
angles (deg): 101.83 101.89 119.42
Fractional positions:
Ge  0.000  0.000  0.000
Ge  0.233  0.732  0.501
Os  0.270  0.612  0.919
Os  0.695  0.353  0.086
Pt  0.593  0.418  0.601
Pt  0.820  0.993  0.402

As for the crystal system: triclinic. The value obtained for the energy above the most stable polymorph in this dataset is 1 meV/atom. As for the formation energy: 0.038 eV per atom. The volume is 15.44 Å³/atom.

=====

# 18
Here is a geometry-optimized GeOsPt structure from Alexandria via LeMat-Bulk. Energies are from PBE.

a b c (Å): 3.973 5.245 5.451
angles (deg): 62.29 80.59 68.27
Fractional positions:
Ge  0.246  0.353  0.343
Ge  0.754  0.647  0.657
Os  0.404  0.284  0.820
Os  0.596  0.716  0.180
Pt  0.092  0.896  0.785
Pt  0.908  0.104  0.215

As for the crystal system: triclinic. The value obtained for the energy above the most stable polymorph in this dataset is 70 meV/atom. As for the formation energy: 0.106 eV per atom. The volume is 15.57 Å³/atom.

=====

# 19
Here is a geometry-optimized GeOsPt structure from Alexandria via LeMat-Bulk. Energies are from PBE.

a b c (Å): 4.223 4.677 5.450
angles (deg): 109.25 97.81 106.19
Fractional positions:
Ge  0.233  0.399  0.117
Ge  0.767  0.601  0.883
Os  0.106  0.316  0.619
Os  0.894  0.684  0.381
Pt  0.467  0.043  0.263
Pt  0.533  0.957  0.737

As for the crystal system: triclinic. The value obtained for the energy above the most stable polymorph in this dataset is 58 meV/atom. As for the formation energy: 0.095 eV per atom. The volume is 15.74 Å³/atom.

=====

# 20
Here is a geometry-optimized GeOsPt structure from Alexandria via LeMat-Bulk. Energies are from PBE.

a b c (Å): 5.527 5.527 4.565
angles (deg): 100.90 100.90 130.48
Fractional positions:
Ge  0.121  0.879  0.500
Ge  0.879  0.121  0.000
Os  0.330  0.460  0.735
Os  0.460  0.330  0.235
Pt  0.569  0.919  0.372
Pt  0.919  0.569  0.872

As for the crystal system: monoclinic. The value obtained for the energy above the most stable polymorph in this dataset is 36 meV/atom. As for the formation energy: 0.073 eV per atom. The volume is 15.77 Å³/atom.